1.
Li2CdNiS4 (PBE-GGA, relaxed); total DFT energy (no corrections) = -3.871 eV/atom; crystal system = orthorhombic
1.0
7.700 0.000 0.000
0.000 6.766 0.000
0.000 0.000 6.365
Li Cd Ni S
4 2 2 8
Direct
0.245 0.170 0.000
0.255 0.830 0.500
0.745 0.830 0.500
0.755 0.170 0.000
0.000 0.351 0.498
0.500 0.649 0.998
0.000 0.676 0.999
0.500 0.324 0.499
0.000 0.371 0.898
0.000 0.695 0.338
0.226 0.831 0.879
0.274 0.169 0.379
0.500 0.305 0.838
0.500 0.629 0.398
0.726 0.169 0.379
0.774 0.831 0.879

=====

2.
LiCdNiSb (PBE-GGA, relaxed); crystal system = cubic; E above lowest polymorph = 0 meV/atom
1.0
0.000 3.221 3.221
3.221 0.000 3.221
3.221 3.221 0.000
Li Cd Ni Sb
1 1 1 1
Direct
0.000 0.000 0.000
0.250 0.250 0.250
0.500 0.500 0.500
0.750 0.750 0.750

=====

3.
LiCdNiSb (PBE-GGA, relaxed); crystal system = cubic; E above lowest polymorph = 187 meV/atom
1.0
0.000 3.274 3.274
3.274 0.000 3.274
3.274 3.274 0.000
Li Cd Ni Sb
1 1 1 1
Direct
0.000 0.000 0.000
0.750 0.750 0.750
0.250 0.250 0.250
0.500 0.500 0.500

=====

4.
Li4CdSiNi2 (PBE-GGA, relaxed); total DFT energy (no corrections) = -3.380 eV/atom; crystal system = tetragonal
1.0
4.132 0.000 0.000
0.000 4.132 0.000
0.000 0.000 6.046
Li Cd Si Ni
4 1 1 2
Direct
0.000 0.000 0.000
0.000 0.500 0.234
0.500 0.000 0.766
0.500 0.500 0.500
0.000 0.000 0.500
0.500 0.500 0.000
0.000 0.500 0.799
0.500 0.000 0.201

=====

5.
Li4CdNiSn2 (PBE-GGA, relaxed); total DFT energy (no corrections) = -3.110 eV/atom; crystal system = tetragonal
1.0
4.507 0.000 0.000
0.000 4.507 0.000
0.000 0.000 6.568
Li Cd Ni Sn
4 1 1 2
Direct
0.000 0.000 0.000
0.000 0.500 0.232
0.500 0.000 0.768
0.500 0.500 0.500
0.000 0.000 0.500
0.500 0.500 0.000
0.000 0.500 0.782
0.500 0.000 0.218

=====

6.
Li4CdNi2Sn (PBE-GGA, relaxed); total DFT energy (no corrections) = -3.185 eV/atom; crystal system = tetragonal
1.0
4.367 0.000 0.000
0.000 4.367 0.000
0.000 0.000 6.087
Li Cd Ni Sn
4 1 2 1
Direct
0.000 0.000 0.000
0.000 0.500 0.246
0.500 0.000 0.754
0.500 0.500 0.500
0.500 0.500 0.000
0.000 0.500 0.737
0.500 0.000 0.263
0.000 0.000 0.500

=====

7.
LiTaCdNi (PBE-GGA, relaxed); crystal system = cubic; E above lowest polymorph = 0 meV/atom
1.0
0.000 3.073 3.073
3.073 0.000 3.073
3.073 3.073 0.000
Li Ta Cd Ni
1 1 1 1
Direct
0.000 0.000 0.000
0.750 0.750 0.750
0.250 0.250 0.250
0.500 0.500 0.500

=====

8.
LiTaCdNi (PBE-GGA, relaxed); crystal system = cubic; E above lowest polymorph = 181 meV/atom
1.0
0.000 3.139 3.139
3.139 0.000 3.139
3.139 3.139 0.000
Li Ta Cd Ni
1 1 1 1
Direct
0.000 0.000 0.000
0.500 0.500 0.500
0.750 0.750 0.750
0.250 0.250 0.250

=====

9.
LiTaCdNi (PBE-GGA, relaxed); crystal system = cubic; E above lowest polymorph = 437 meV/atom
1.0
0.000 3.123 3.123
3.123 0.000 3.123
3.123 3.123 0.000
Li Ta Cd Ni
1 1 1 1
Direct
0.000 0.000 0.000
0.750 0.750 0.750
0.500 0.500 0.500
0.250 0.250 0.250

=====

10.
Li2CdO3 (PBE-GGA, relaxed); total DFT energy (no corrections) = -4.279 eV/atom; crystal system = monoclinic
1.0
2.653 -4.595 0.000
2.653 4.595 0.000
-1.772 0.000 4.890
Li Cd O
4 2 6
Direct
0.000 0.000 0.000
0.168 0.832 0.500
0.500 0.500 0.500
0.832 0.168 0.500
0.334 0.666 0.000
0.666 0.334 0.000
0.089 0.415 0.259
0.240 0.240 0.733
0.415 0.089 0.259
0.585 0.911 0.741
0.760 0.760 0.267
0.911 0.585 0.741

=====

11.
Li3CdO4 (PBE-GGA, relaxed); crystal system = monoclinic; E above lowest polymorph = 2 meV/atom
1.0
4.788 -1.564 0.000
4.788 1.564 0.000
-0.831 0.000 4.997
Li Cd O
3 1 4
Direct
0.000 0.000 0.000
0.246 0.246 0.765
0.754 0.754 0.235
0.500 0.500 0.500
0.134 0.134 0.367
0.376 0.376 0.126
0.624 0.624 0.874
0.866 0.866 0.633